Density functional theory data (GGA-PBE) for crystalline ScNb2CdGa at its relaxed geometry.

Computed properties:
**V**: 24.53 A^3/atom
**Total magnetization**: 0.3752 μB per atom
**VASP energy**: -23.7 eV for the cell shown
**Calculated formation energy**: 1.3378 eV per atom
**DOS at the Fermi energy**: 1.292 states/eV/atom

Unit cell a=5.1229 b=5.1229 c=4.6734 alpha=90.00 beta=90.00 gamma=90.00
Space group P4/mmm (No. 123)
Symmetry-distinct sites (fractional):
Sc1 0.0000 0.0000 0.0000 [1 per cell]
Nb1 0.0000 0.5000 0.5000 [2 per cell]
Cd1 0.5000 0.5000 0.5000 [1 per cell]
Ga1 0.5000 0.5000 0.0000 [1 per cell]

Density functional theory data (GGA-PBE) for crystalline TaNbCdGa2 at its relaxed geometry.

Computed properties:
**V**: 25.23 A^3/atom
**Total magnetization**: 0.0000 μB per atom
**VASP energy**: -24.4 eV for the cell shown
**Calculated formation energy**: 0.9064 eV per atom
**DOS at the Fermi energy**: 0.838 states/eV/atom

Unit cell a=5.0589 b=5.0589 c=4.9282 alpha=90.00 beta=90.00 gamma=90.00
Space group P4/mmm (No. 123)
Symmetry-distinct sites (fractional):
Ta1 0.0000 0.0000 0.0000 [1 per cell]
Nb1 0.0000 0.0000 0.5000 [1 per cell]
Cd1 0.5000 0.5000 0.0000 [1 per cell]
Ga1 0.0000 0.5000 0.5000 [2 per cell]